Density functional theory data (PBE) for a relaxed CoCuCl3 crystal.

Cell lengths 3.750, 7.232, 9.486 Å; angles 98.23, 90.00, 105.03 degrees
Element x y z (fractional)
Co: 0.893 0.786 0.672
Co: 0.107 0.214 0.328
Cl: 0.369 0.738 0.530
Cl: 0.631 0.262 0.470
Cl: 0.949 0.898 0.225
Cl: 0.205 0.411 0.166
Cl: 0.051 0.102 0.775
Cl: 0.795 0.589 0.834
Cu: 0.641 0.283 0.730
Cu: 0.359 0.717 0.270

Calculated values
Crystal system ... monoclinic
Space group ... C2/m (12)


Density functional theory data (PBE) for a relaxed CoCu2Cl crystal.

Cell lengths 3.017, 3.007, 6.499 Å; angles 89.42, 90.00, 90.00 degrees
Element x y z (fractional)
Cu: 0.000 0.256 0.545
Cu: 0.000 0.244 0.955
Co: 0.500 0.750 0.750
Cl: 0.500 0.250 0.250

Calculated values
Crystal system ... monoclinic
Space group ... P2/m (10)


Density functional theory data (PBE) for a relaxed CoCu2Cl crystal.

Cell lengths 2.846, 2.846, 7.921 Å; angles 90.00, 90.00, 118.03 degrees
Element x y z (fractional)
Cu: 0.000 0.000 0.995
Cu: 0.500 0.500 0.243
Cl: 0.000 0.000 0.516
Co: 0.500 0.500 0.745

Calculated values
Crystal system ... orthorhombic
Space group ... Cmm2 (35)


Density functional theory data (PBE) for a relaxed Co2CuCl6 crystal.

Cell lengths 6.185, 9.504, 9.504 Å; angles 90.25, 106.90, 106.90 degrees
Element x y z (fractional)
Cl: 0.931 0.776 0.026
Cl: 0.069 0.224 0.974
Cl: 0.615 0.420 0.797
Cl: 0.115 0.797 0.420
Cl: 0.315 0.229 0.367
Cl: 0.185 0.633 0.771
Cl: 0.385 0.580 0.203
Cl: 0.885 0.203 0.580
Cl: 0.569 0.974 0.224
Cl: 0.815 0.367 0.229
Cl: 0.685 0.771 0.633
Cl: 0.431 0.026 0.776
Cu: 0.750 0.224 0.776
Cu: 0.250 0.776 0.224
Co: 0.351 0.815 0.648
Co: 0.649 0.185 0.352
Co: 0.149 0.352 0.185
Co: 0.851 0.648 0.815

Calculated values
Crystal system ... monoclinic
Space group ... C2/c (15)


Density functional theory data (PBE) for a relaxed Co2Cu2Cl7 crystal.

Cell lengths 7.031, 7.031, 13.414 Å; angles 102.80, 102.80, 95.66 degrees
Element x y z (fractional)
Co: 0.761 0.870 0.791
Co: 0.130 0.239 0.709
Co: 0.870 0.761 0.291
Co: 0.239 0.130 0.209
Cl: 0.657 0.113 0.891
Cl: 0.343 0.158 0.609
Cl: 0.343 0.887 0.109
Cl: 0.528 0.701 0.649
Cl: 0.954 0.046 0.250
Cl: 0.113 0.657 0.391
Cl: 0.701 0.528 0.149
Cl: 0.887 0.343 0.609
Cl: 0.158 0.343 0.109
Cl: 0.472 0.299 0.351
Cl: 0.842 0.657 0.891
Cl: 0.657 0.842 0.391
Cl: 0.046 0.954 0.750
Cl: 0.299 0.472 0.851
Cu: 0.404 0.607 0.360
Cu: 0.607 0.404 0.860
Cu: 0.393 0.596 0.140
Cu: 0.596 0.393 0.640

Calculated values
Crystal system ... monoclinic
Space group ... C2/c (15)


Density functional theory data (PBE) for a relaxed Co3CuCl crystal.

Cell lengths 4.078, 4.078, 4.078 Å; angles 90.00, 90.00, 90.00 degrees
Element x y z (fractional)
Cl: 0.000 0.000 0.000
Co: 0.000 0.500 0.000
Co: 0.000 0.000 0.500
Co: 0.500 0.000 0.000
Cu: 0.500 0.500 0.500

Calculated values
Crystal system ... cubic
Space group ... Pm-3m (221)


Density functional theory data (PBE) for a relaxed CoCu2Cl crystal.

Cell lengths 6.217, 6.217, 6.217 Å; angles 153.88, 143.85, 45.14 degrees
Element x y z (fractional)
Cl: 0.433 0.433 0.000
Co: 0.272 0.772 0.500
Cu: 0.711 0.211 0.500
Cu: 0.085 0.085 0.000

Calculated values
Crystal system ... orthorhombic
Space group ... Imm2 (44)


Density functional theory data (PBE) for a relaxed CoCu2Cl crystal.

Cell lengths 4.698, 4.698, 2.789 Å; angles 90.00, 90.00, 117.11 degrees
Element x y z (fractional)
Cl: 0.500 0.000 0.500
Cu: 0.000 0.000 0.000
Cu: 0.500 0.500 0.000
Co: 0.000 0.500 0.500

Calculated values
Crystal system ... orthorhombic
Space group ... Cmmm (65)


Density functional theory data (PBE) for a relaxed CoCu2Cl crystal.

Cell lengths 4.325, 4.325, 4.325 Å; angles 60.00, 60.00, 60.00 degrees
Element x y z (fractional)
Cu: 0.250 0.250 0.250
Cu: 0.750 0.750 0.750
Co: 0.500 0.500 0.500
Cl: 0.000 0.000 0.000

Calculated values
Crystal system ... cubic
Space group ... Fm-3m (225)


Density functional theory data (PBE) for a relaxed CoCu2Cl crystal.

Cell lengths 5.374, 5.374, 5.374 Å; angles 142.35, 142.35, 54.30 degrees
Element x y z (fractional)
Cu: 0.500 0.500 0.000
Cu: 0.000 0.000 0.000
Co: 0.750 0.250 0.500
Cl: 0.250 0.750 0.500

Calculated values
Crystal system ... tetragonal
Space group ... I4/mmm (139)


Density functional theory data (PBE) for a relaxed CoCu2Cl4 crystal.

Cell lengths 5.446, 5.446, 6.514 Å; angles 114.71, 114.71, 90.00 degrees
Element x y z (fractional)
Cl: 0.866 0.385 0.251
Cl: 0.615 0.615 0.749
Cl: 0.385 0.866 0.251
Cl: 0.134 0.134 0.749
Cu: 0.750 0.250 0.500
Cu: 0.250 0.750 0.500
Co: 0.500 0.500 0.000

Calculated values
Crystal system ... tetragonal
Space group ... I-42m (121)


Density functional theory data (PBE) for a relaxed CoCu2Cl crystal.

Cell lengths 6.848, 6.848, 5.395 Å; angles 50.60, 50.60, 90.00 degrees
Element x y z (fractional)
Cu: 0.131 0.625 0.250
Cu: 0.875 0.869 0.750
Cu: 0.619 0.125 0.250
Cu: 0.375 0.381 0.750
Co: 0.000 0.000 0.000
Co: 0.750 0.250 0.500
Cl: 0.500 0.500 0.000
Cl: 0.250 0.750 0.500

Calculated values
Crystal system ... tetragonal
Space group ... I-42d (122)


Density functional theory data (PBE) for a relaxed CoCu2Cl8 crystal.

Cell lengths 5.838, 7.297, 7.297 Å; angles 70.14, 81.10, 81.10 degrees
Element x y z (fractional)
Cl: 0.797 0.111 0.739
Cl: 0.269 0.369 0.369
Cl: 0.203 0.889 0.261
Cl: 0.263 0.833 0.833
Cl: 0.731 0.631 0.631
Cl: 0.203 0.261 0.889
Cl: 0.797 0.739 0.111
Cl: 0.737 0.167 0.167
Co: 0.000 0.000 0.000
Cu: 0.659 0.813 0.813
Cu: 0.341 0.187 0.187

Calculated values
Crystal system ... monoclinic
Space group ... C2/m (12)


Number 1: ΔE_f (raw) -0.4940 eV/atom. Number 2: ΔE_f (raw) 0.2582 eV/atom. Number 3: ΔE_f (raw) 0.3793 eV/atom. Number 4: ΔE_f (raw) -0.5632 eV/atom. Number 5: ΔE_f (raw) -0.5270 eV/atom. Number 6: ΔE_f (raw) 0.8397 eV/atom. Number 7: ΔE_f (raw) 0.2948 eV/atom. Number 8: ΔE_f (raw) 0.5255 eV/atom. Number 9: ΔE_f (raw) 0.6993 eV/atom. Number 10: ΔE_f (raw) 0.5563 eV/atom. Number 11: ΔE_f (raw) -0.4932 eV/atom. Number 12: ΔE_f (raw) 0.6234 eV/atom. Number 13: ΔE_f (raw) -0.3678 eV/atom.